A plane-wave DFT calculation with PBE was carried out for a geometry-optimized RbSrCd2Au structure.

Cell and atoms, written as POSCAR:
```
RbSrCd2Au
1.0
-4.712 0.460 -2.924
-2.784 -2.560 4.083
-1.061 5.181 2.525
Sr Au Rb Cd
1 1 1 2
Direct
0.000 0.000 0.500 Sr
0.000 0.000 0.000 Au
0.500 0.500 0.500 Rb
0.000 0.500 0.000 Cd
0.500 0.000 0.000 Cd
```

## Properties
Total energy in eV per cell: -8.514
Fermi-level density of states in states/eV per cell: 3.805